Record 1
Entry from the Open Quantum Materials Database: a geometry-optimized Ta4CuC2S structure (PBE-GGA).

Its energy is -9.697 eV/atom. As for the crystal system: hexagonal.

The structure belongs to space group P-6m2 (No. 187); the cell edges are 3.2151, 3.2151 and 12.3146 Å and the angles 90.00°, 90.00° and 120.00°. Symmetry generates all atoms from Ta at (0.0000, 0.0000, 0.1452), Ta at (0.3333, 0.6667, 0.3349), Cu at (0.0000, 0.0000, 0.5000), C at (0.6667, 0.3333, 0.2435) and S at (0.3333, 0.6667, 0.0000).

Record 2
Entry from the Open Quantum Materials Database: a geometry-optimized BaLiTbTe3 structure (PBE-GGA).

The value obtained for the energy relative to the lowest polymorph listed for this composition is 23 meV per atom. Its energy is -4.436 eV/atom. As for the crystal system: monoclinic.

The structure belongs to space group C2/m (No. 12); the cell edges are 19.317, 4.533 and 9.507 Å and the angles 90.00°, 103.82° and 90.00°. Symmetry generates all atoms from Ba at (0.136, 0.000, 0.067), Li at (0.007, 0.500, 0.698), Tb at (0.166, 0.000, 0.584), Te at (0.000, 0.000, 0.500), Te at (0.000, 0.500, 0.000), Te at (0.169, 0.500, 0.362) and Te at (0.173, 0.500, 0.807).

Record 3
Entry from the Open Quantum Materials Database: a geometry-optimized CuTcNiAs structure (PBE-GGA).

The value obtained for the energy relative to the lowest polymorph listed for this composition is 307 meV per atom. Its energy is -5.664 eV/atom. As for the crystal system: cubic.

The structure belongs to space group F-43m (No. 216); the cell edges are 6.041, 6.041 and 6.041 Å and the angles 90.00°, 90.00° and 90.00°. Symmetry generates all atoms from Cu at (0.000, 0.000, 0.000), Tc at (0.250, 0.250, 0.750), Ni at (0.000, 0.000, 0.500) and As at (0.250, 0.250, 0.250).

Record 4
Entry from the Open Quantum Materials Database: a geometry-optimized KTcNi structure (PBE-GGA).

The value obtained for the energy relative to the lowest polymorph listed for this composition is 0 meV per atom. Its energy is -3.990 eV/atom. As for the crystal system: cubic.

The structure belongs to space group F-43m (No. 216); the cell edges are 6.272, 6.272 and 6.272 Å and the angles 90.00°, 90.00° and 90.00°. Symmetry generates all atoms from K at (0.000, 0.000, 0.000), Tc at (0.000, 0.000, 0.500) and Ni at (0.250, 0.250, 0.250).

Record 5
Entry from the Open Quantum Materials Database: a geometry-optimized LaLuBePt structure (PBE-GGA).

The value obtained for the energy relative to the lowest polymorph listed for this composition is 0 meV per atom. Its energy is -5.275 eV/atom. As for the crystal system: cubic.

The structure belongs to space group F-43m (No. 216); the cell edges are 7.057, 7.057 and 7.057 Å and the angles 90.00°, 90.00° and 90.00°. Symmetry generates all atoms from La at (0.000, 0.000, 0.000), Lu at (0.000, 0.000, 0.500), Be at (0.250, 0.250, 0.750) and Pt at (0.250, 0.250, 0.250).

Record 6
Entry from the Open Quantum Materials Database: a geometry-optimized ScZnGe structure (PBE-GGA).

Its energy is -4.420 eV/atom. As for the crystal system: cubic.

The structure belongs to space group F-43m (No. 216); the cell edges are 6.172, 6.172 and 6.172 Å and the angles 90.00°, 90.00° and 90.00°. Symmetry generates all atoms from Sc at (0.000, 0.000, 0.000), Zn at (0.000, 0.000, 0.500) and Ge at (0.250, 0.250, 0.250).

Record 7
Entry from the Open Quantum Materials Database: a geometry-optimized Tb2PrZn2Si4Au2 structure (PBE-GGA).

The value obtained for the energy relative to the lowest polymorph listed for this composition is 37 meV per atom. Its energy is -4.679 eV/atom. As for the crystal system: orthorhombic.

The structure belongs to space group Immm (No. 71); the cell edges are 4.194, 4.199 and 24.692 Å and the angles 90.00°, 90.00° and 90.00°. Symmetry generates all atoms from Tb at (0.000, 0.000, 0.145), Pr at (0.000, 0.500, 0.000), Zn at (0.000, 0.000, 0.405), Si at (0.000, 0.000, 0.311), Si at (0.000, 0.500, 0.452) and Au at (0.000, 0.500, 0.251).

Record 8
Entry from the Open Quantum Materials Database: a geometry-optimized Pr2NiSn4Pt structure (PBE-GGA).

Its energy is -5.346 eV/atom. As for the crystal system: monoclinic.

The structure belongs to space group Pm (No. 6); the cell edges are 4.538, 4.556 and 9.636 Å and the angles 90.00°, 101.66° and 90.00°. Symmetry generates all atoms from Pr at (0.000, 0.000, 0.000), Pr at (0.302, 0.500, 0.449), Ni at (0.831, 0.000, 0.579), Sn at (0.392, 0.000, 0.716), Sn at (0.519, 0.500, 0.149), Sn at (0.788, 0.000, 0.315), Sn at (0.907, 0.500, 0.714) and Pt at (0.480, 0.500, 0.874).

Record 9
Entry from the Open Quantum Materials Database: a geometry-optimized Pr2CuNiSb4 structure (PBE-GGA).

Its energy is -5.117 eV/atom. As for the crystal system: tetragonal.

The structure belongs to space group P-4m2 (No. 115); the cell edges are 4.427, 4.427 and 9.952 Å and the angles 90.00°, 90.00° and 90.00°. Symmetry generates all atoms from Pr at (0.000, 0.500, 0.243), Cu at (0.000, 0.000, 0.000), Ni at (0.500, 0.500, 0.000), Sb at (0.000, 0.000, 0.500), Sb at (0.000, 0.500, 0.860) and Sb at (0.500, 0.500, 0.500).

Record 10
Entry from the Open Quantum Materials Database: a geometry-optimized NpNbSn structure (PBE-GGA).

The value obtained for the energy relative to the lowest polymorph listed for this composition is 0 meV per atom. Its energy is -8.409 eV/atom. As for the crystal system: cubic.

The structure belongs to space group F-43m (No. 216); the cell edges are 6.678, 6.678 and 6.678 Å and the angles 90.00°, 90.00° and 90.00°. Symmetry generates all atoms from Np at (0.000, 0.000, 0.000), Nb at (0.250, 0.250, 0.250) and Sn at (0.000, 0.000, 0.500).

Record 11
Entry from the Open Quantum Materials Database: a geometry-optimized HfBAsO structure (PBE-GGA).

The value obtained for the energy relative to the lowest polymorph listed for this composition is 0 meV per atom. Its energy is -7.499 eV/atom. As for the crystal system: orthorhombic.

The structure belongs to space group Pmma (No. 51); the cell edges are 5.437, 3.326 and 6.574 Å and the angles 90.00°, 90.00° and 90.00°. Symmetry generates all atoms from Hf at (0.250, 0.000, 0.131), B at (0.250, 0.500, 0.549), As at (0.250, 0.000, 0.725) and O at (0.250, 0.500, 0.342).